# CdSN2F

CdSN2F after structural relaxation (PBE, the Alexandria database).

```
CdSN2F
1.0
-1.077 -3.597 2.174
2.457 -2.360 -2.688
4.330 0.716 3.330
N Cd F S
2 1 1 1
Direct
0.500 0.000 0.000
0.000 0.500 0.000
0.000 0.000 0.000
0.500 0.500 0.500
0.000 0.000 0.500
```

## Properties
Its calculated density is 3.1 g cm⁻³. Its final energy is -2.90 eV/atom. The formation energy from raw total energies is 1.812 eV/atom. The calculation puts the energy relative to the lowest polymorph listed for this composition at 1093.5 meV/atom.

# CdSNF2

CdSNF2 after structural relaxation (PBE, the Alexandria database).

```
CdSNF2
1.0
4.236 0.000 0.000
0.000 4.236 0.000
0.000 0.000 4.838
F Cd N S
2 1 1 1
Direct
0.000 0.500 0.000
0.500 0.000 0.000
0.000 0.000 0.000
0.000 0.000 0.500
0.500 0.500 0.500
```

## Properties
Its calculated density is 3.8 g cm⁻³. Its final energy is -3.05 eV/atom. The formation energy from raw total energies is 0.367 eV/atom. The calculation puts the energy relative to the lowest polymorph listed for this composition at 523.3 meV/atom.

# CdSbNF2

CdSbNF2 after structural relaxation (PBE, the Alexandria database).

```
CdSbNF2
1.0
4.491 0.000 0.000
0.000 4.491 0.000
0.000 0.000 4.137
N F Sb Cd
1 2 1 1
Direct
0.000 0.000 0.500
0.000 0.500 0.000
0.500 0.000 0.000
0.000 0.000 0.000
0.500 0.500 0.500
```

## Properties
Its calculated density is 5.7 g cm⁻³. Its final energy is -3.99 eV/atom. The formation energy from raw total energies is -0.571 eV/atom. The calculation puts the energy relative to the lowest polymorph listed for this composition at 0.0 meV/atom.

# CdSbNF2

CdSbNF2 after structural relaxation (PBE, the Alexandria database).

```
CdSbNF2
1.0
-0.341 -4.179 -0.387
3.670 -0.486 2.006
-2.241 -0.192 4.053
F Cd Sb N
2 1 1 1
Direct
0.500 0.000 0.000
0.000 0.500 0.000
0.000 0.000 0.000
0.500 0.500 0.500
0.000 0.000 0.500
```

## Properties
Its calculated density is 5.8 g cm⁻³. Its final energy is -3.67 eV/atom. The formation energy from raw total energies is -0.246 eV/atom. The calculation puts the energy relative to the lowest polymorph listed for this composition at 325.3 meV/atom.

# CdSeNF2

CdSeNF2 after structural relaxation (PBE, the Alexandria database).

```
CdSeNF2
1.0
4.678 0.000 0.000
0.000 4.678 0.000
0.000 0.000 3.644
F Cd Se N
2 1 1 1
Direct
0.000 0.500 0.000
0.500 0.000 0.000
0.500 0.500 0.500
0.000 0.000 0.000
0.000 0.000 0.500
```

## Properties
Its calculated density is 5.1 g cm⁻³. Its final energy is -3.43 eV/atom. The formation energy from raw total energies is -0.136 eV/atom. The calculation puts the energy relative to the lowest polymorph listed for this composition at 0.0 meV/atom.

# CdSeNF2

CdSeNF2 after structural relaxation (PBE, the Alexandria database).

```
CdSeNF2
1.0
-1.362 0.050 -4.008
2.947 -2.857 -1.037
-3.057 -3.515 0.996
Se Cd F N
1 1 2 1
Direct
0.500 0.500 0.500
0.000 0.000 0.000
0.000 0.500 0.000
0.500 0.000 0.000
0.000 0.000 0.500
```

## Properties
Its calculated density is 4.7 g cm⁻³. Its final energy is -3.12 eV/atom. The formation energy from raw total energies is 0.171 eV/atom. The calculation puts the energy relative to the lowest polymorph listed for this composition at 306.2 meV/atom.

# CdSiN2F

CdSiN2F after structural relaxation (PBE, the Alexandria database).

```
CdSiN2F
1.0
3.644 0.000 0.000
0.000 3.644 0.000
0.000 0.000 3.884
N Si Cd F
2 1 1 1
Direct
0.000 0.500 0.000
0.500 0.000 0.000
0.000 0.000 0.000
0.500 0.500 0.500
0.000 0.000 0.500
```

## Properties
Its calculated density is 6.0 g cm⁻³. Its final energy is -5.31 eV/atom. The formation energy from raw total energies is -0.339 eV/atom. The calculation puts the energy relative to the lowest polymorph listed for this composition at 0.0 meV/atom.

# CdSiN2F

CdSiN2F after structural relaxation (PBE, the Alexandria database).

```
CdSiN2F
1.0
4.267 0.000 0.000
0.000 4.267 0.000
0.000 0.000 4.332
F N Cd Si
1 2 1 1
Direct
0.000 0.000 0.500
0.000 0.500 0.000
0.500 0.000 0.000
0.000 0.000 0.000
0.500 0.500 0.500
```

## Properties
Its calculated density is 3.9 g cm⁻³. Its final energy is -3.65 eV/atom. The formation energy from raw total energies is 1.318 eV/atom. The calculation puts the energy relative to the lowest polymorph listed for this composition at 1657.0 meV/atom.

# CdSnN2F

CdSnN2F after structural relaxation (PBE, the Alexandria database).

```
CdSnN2F
1.0
-3.397 -2.009 1.698
-1.497 -0.804 -3.946
2.236 -3.839 -0.066
Cd N F Sn
1 2 1 1
Direct
0.000 0.000 0.000
0.000 0.500 0.000
0.500 0.000 0.000
0.000 0.000 0.500
0.500 0.500 0.500
```

## Properties
Its calculated density is 5.6 g cm⁻³. Its final energy is -3.90 eV/atom. The formation energy from raw total energies is 0.786 eV/atom. The calculation puts the energy relative to the lowest polymorph listed for this composition at 516.4 meV/atom.

# CdSnN2F

CdSnN2F after structural relaxation (PBE, the Alexandria database).

```
CdSnN2F
1.0
4.152 0.000 0.000
0.000 4.152 0.000
0.000 0.000 4.180
Sn F N Cd
1 1 2 1
Direct
0.000 0.000 0.000
0.000 0.000 0.500
0.000 0.500 0.000
0.500 0.000 0.000
0.500 0.500 0.500
```

## Properties
Its calculated density is 6.4 g cm⁻³. Its final energy is -4.42 eV/atom. The formation energy from raw total energies is 0.269 eV/atom. The calculation puts the energy relative to the lowest polymorph listed for this composition at 0.0 meV/atom.

# SrCdNF2

SrCdNF2 after structural relaxation (PBE, the Alexandria database).

```
SrCdNF2
1.0
4.583 0.000 0.000
0.000 4.583 0.000
0.000 0.000 5.254
F Cd N Sr
2 1 1 1
Direct
0.500 0.000 0.000
0.000 0.500 0.000
0.500 0.500 0.500
0.000 0.000 0.500
0.000 0.000 0.000
```

## Properties
Its calculated density is 3.8 g cm⁻³. Its final energy is -4.01 eV/atom. The formation energy from raw total energies is -1.073 eV/atom. The calculation puts the energy relative to the lowest polymorph listed for this composition at 267.4 meV/atom.

# SrCdNF2

SrCdNF2 after structural relaxation (PBE, the Alexandria database).

```
SrCdNF2
1.0
-3.253 -1.592 -2.664
2.683 -3.383 -1.254
-1.493 -2.389 3.251
N F Cd Sr
1 2 1 1
Direct
0.000 0.000 0.500
0.000 0.500 0.000
0.500 0.000 0.000
0.000 0.000 0.000
0.500 0.500 0.500
```

## Properties
Its calculated density is 4.8 g cm⁻³. Its final energy is -4.27 eV/atom. The formation energy from raw total energies is -1.340 eV/atom. The calculation puts the energy relative to the lowest polymorph listed for this composition at 0.0 meV/atom.